# 1
{
  "formula": "V3P6O20",
  "functional": "GGA-PBEsol",
  "state": "optimized geometry",
  "raw_formation_energy_mev_per_atom": -2187,
  "spacegroup": "C222_1",
  "energy_ev_per_atom": -8.0020,
  "mass_density_g_cm3": 2.6,
  "lattice_angstrom": [[5.090, -6.642, 0.000], [5.090, 6.642, 0.000], [0.000, 0.000, 12.219]],
  "species": ["V", "V", "V", "V", "V", "V", "P", "P", "P", "P", "P", "P", "P", "P", "P", "P", "P", "P", "O", "O", "O", "O", "O", "O", "O", "O", "O", "O", "O", "O", "O", "O", "O", "O", "O", "O", "O", "O", "O", "O", "O", "O", "O", "O", "O", "O", "O", "O", "O", "O", "O", "O", "O", "O", "O", "O", "O", "O"],
  "fractional_positions": [[0.207, 0.793, 0.750], [0.262, 0.738, 0.250], [0.361, 0.361, 0.000], [0.639, 0.639, 0.500], [0.738, 0.262, 0.750], [0.793, 0.207, 0.250], [0.130, 0.405, 0.681], [0.198, 0.322, 0.224], [0.242, 0.647, 0.514], [0.322, 0.198, 0.776], [0.353, 0.758, 0.986], [0.405, 0.130, 0.319], [0.595, 0.870, 0.819], [0.647, 0.242, 0.486], [0.678, 0.802, 0.276], [0.758, 0.353, 0.014], [0.802, 0.678, 0.724], [0.870, 0.595, 0.181], [0.026, 0.237, 0.261], [0.031, 0.720, 0.202], [0.137, 0.465, 0.556], [0.176, 0.553, 0.756], [0.190, 0.660, 0.397], [0.201, 0.774, 0.590], [0.226, 0.799, 0.910], [0.237, 0.026, 0.739], [0.241, 0.507, 0.211], [0.243, 0.245, 0.116], [0.245, 0.243, 0.884], [0.278, 0.318, 0.683], [0.280, 0.969, 0.298], [0.318, 0.278, 0.317], [0.340, 0.810, 0.103], [0.358, 0.575, 0.975], [0.425, 0.642, 0.525], [0.447, 0.824, 0.744], [0.465, 0.137, 0.444], [0.493, 0.759, 0.289], [0.507, 0.241, 0.789], [0.535, 0.863, 0.944], [0.553, 0.176, 0.244], [0.575, 0.358, 0.025], [0.642, 0.425, 0.475], [0.660, 0.190, 0.603], [0.682, 0.722, 0.817], [0.720, 0.031, 0.798], [0.722, 0.682, 0.183], [0.755, 0.757, 0.384], [0.757, 0.755, 0.616], [0.759, 0.493, 0.711], [0.763, 0.974, 0.239], [0.774, 0.201, 0.410], [0.799, 0.226, 0.090], [0.810, 0.340, 0.897], [0.824, 0.447, 0.256], [0.863, 0.535, 0.056], [0.969, 0.280, 0.702], [0.974, 0.763, 0.761]]
}

=====

# 2
{
  "formula": "V3P4O14",
  "functional": "GGA-PBEsol",
  "state": "optimized geometry",
  "raw_formation_energy_mev_per_atom": -2163,
  "spacegroup": "P2_1/c",
  "energy_ev_per_atom": -8.1423,
  "mass_density_g_cm3": 3.4,
  "lattice_angstrom": [[7.249, 0.000, 0.000], [0.000, 7.766, 0.000], [-3.381, 0.000, 8.727]],
  "species": ["V", "V", "V", "V", "V", "V", "P", "P", "P", "P", "P", "P", "P", "P", "O", "O", "O", "O", "O", "O", "O", "O", "O", "O", "O", "O", "O", "O", "O", "O", "O", "O", "O", "O", "O", "O", "O", "O", "O", "O", "O", "O"],
  "fractional_positions": [[0.000, 0.000, 0.000], [0.000, 0.500, 0.500], [0.189, 0.131, 0.528], [0.189, 0.369, 0.028], [0.811, 0.631, 0.972], [0.811, 0.869, 0.472], [0.119, 0.709, 0.806], [0.119, 0.791, 0.306], [0.402, 0.052, 0.296], [0.402, 0.448, 0.796], [0.598, 0.552, 0.204], [0.598, 0.948, 0.704], [0.881, 0.209, 0.694], [0.881, 0.291, 0.194], [0.004, 0.209, 0.869], [0.004, 0.291, 0.369], [0.039, 0.575, 0.893], [0.039, 0.925, 0.393], [0.140, 0.619, 0.382], [0.140, 0.881, 0.882], [0.267, 0.119, 0.135], [0.267, 0.381, 0.635], [0.326, 0.641, 0.809], [0.326, 0.859, 0.309], [0.370, 0.160, 0.419], [0.370, 0.340, 0.919], [0.383, 0.522, 0.183], [0.383, 0.978, 0.683], [0.617, 0.022, 0.317], [0.617, 0.478, 0.817], [0.630, 0.660, 0.081], [0.630, 0.840, 0.581], [0.674, 0.141, 0.691], [0.674, 0.359, 0.191], [0.733, 0.619, 0.365], [0.733, 0.881, 0.865], [0.860, 0.119, 0.118], [0.860, 0.381, 0.618], [0.961, 0.075, 0.607], [0.961, 0.425, 0.107], [0.996, 0.709, 0.631], [0.996, 0.791, 0.131]]
}

=====

# 3
{
  "formula": "V4P2O13",
  "functional": "GGA-PBEsol",
  "state": "optimized geometry",
  "raw_formation_energy_mev_per_atom": -2296,
  "spacegroup": "P1",
  "energy_ev_per_atom": -8.5259,
  "mass_density_g_cm3": 4.0,
  "lattice_angstrom": [[4.870, 0.000, 0.000], [0.775, 4.812, 0.000], [0.186, 1.471, 8.470]],
  "species": ["V", "V", "V", "V", "P", "P", "O", "O", "O", "O", "O", "O", "O", "O", "O", "O", "O", "O", "O"],
  "fractional_positions": [[0.000, 0.000, 0.000], [0.201, 0.188, 0.677], [0.435, 0.343, 0.073], [0.686, 0.498, 0.425], [0.142, 0.950, 0.357], [0.725, 0.696, 0.771], [0.004, 0.145, 0.474], [0.138, 0.139, 0.186], [0.196, 0.680, 0.045], [0.239, 0.232, 0.886], [0.431, 0.825, 0.715], [0.443, 0.343, 0.565], [0.448, 0.855, 0.402], [0.581, 0.408, 0.255], [0.676, 0.002, 0.080], [0.717, 0.492, 0.929], [0.881, 0.531, 0.647], [0.892, 0.940, 0.792], [0.983, 0.711, 0.347]]
}

=====

# 4
{
  "formula": "V3P6O20",
  "functional": "GGA-PBEsol",
  "state": "optimized geometry",
  "raw_formation_energy_mev_per_atom": -2187,
  "spacegroup": "Aea2",
  "energy_ev_per_atom": -8.0019,
  "mass_density_g_cm3": 2.6,
  "lattice_angstrom": [[12.549, 0.000, 0.000], [0.000, 6.818, 4.970], [0.000, -6.818, 4.970]],
  "species": ["V", "V", "V", "V", "V", "V", "P", "P", "P", "P", "P", "P", "P", "P", "P", "P", "P", "P", "O", "O", "O", "O", "O", "O", "O", "O", "O", "O", "O", "O", "O", "O", "O", "O", "O", "O", "O", "O", "O", "O", "O", "O", "O", "O", "O", "O", "O", "O", "O", "O", "O", "O", "O", "O", "O", "O", "O", "O"],
  "fractional_positions": [[0.000, 0.000, 0.000], [0.205, 0.029, 0.565], [0.295, 0.529, 0.065], [0.500, 0.500, 0.500], [0.705, 0.065, 0.529], [0.795, 0.565, 0.029], [0.055, 0.610, 0.977], [0.196, 0.453, 0.705], [0.218, 0.130, 0.972], [0.282, 0.630, 0.472], [0.304, 0.953, 0.205], [0.445, 0.110, 0.477], [0.555, 0.477, 0.110], [0.696, 0.205, 0.953], [0.718, 0.472, 0.630], [0.782, 0.972, 0.130], [0.804, 0.705, 0.453], [0.945, 0.977, 0.610], [0.053, 0.999, 0.543], [0.055, 0.800, 0.006], [0.084, 0.529, 0.782], [0.111, 0.152, 0.069], [0.141, 0.562, 0.079], [0.184, 0.268, 0.638], [0.199, 0.023, 0.794], [0.205, 0.521, 0.550], [0.216, 0.024, 0.328], [0.225, 0.791, 0.493], [0.275, 0.291, 0.993], [0.284, 0.524, 0.828], [0.295, 0.021, 0.050], [0.301, 0.523, 0.294], [0.316, 0.768, 0.138], [0.359, 0.062, 0.579], [0.389, 0.652, 0.569], [0.416, 0.029, 0.282], [0.445, 0.300, 0.506], [0.447, 0.499, 0.043], [0.553, 0.043, 0.499], [0.555, 0.506, 0.300], [0.584, 0.282, 0.029], [0.611, 0.569, 0.652], [0.641, 0.579, 0.062], [0.684, 0.138, 0.768], [0.699, 0.294, 0.523], [0.705, 0.050, 0.021], [0.716, 0.828, 0.524], [0.725, 0.993, 0.291], [0.775, 0.493, 0.791], [0.784, 0.328, 0.024], [0.795, 0.550, 0.521], [0.801, 0.794, 0.023], [0.816, 0.638, 0.268], [0.859, 0.079, 0.562], [0.889, 0.069, 0.152], [0.916, 0.782, 0.529], [0.945, 0.006, 0.800], [0.947, 0.543, 0.999]]
}

=====

# 5
{
  "formula": "V2P5O16",
  "functional": "GGA-PBEsol",
  "state": "optimized geometry",
  "raw_formation_energy_mev_per_atom": -2212,
  "spacegroup": "P2/c",
  "energy_ev_per_atom": -7.9605,
  "mass_density_g_cm3": 2.6,
  "lattice_angstrom": [[5.087, 0.000, 0.000], [0.000, 6.728, 0.000], [-0.376, 0.000, 18.907]],
  "species": ["V", "V", "V", "V", "P", "P", "P", "P", "P", "P", "P", "P", "P", "P", "O", "O", "O", "O", "O", "O", "O", "O", "O", "O", "O", "O", "O", "O", "O", "O", "O", "O", "O", "O", "O", "O", "O", "O", "O", "O", "O", "O", "O", "O", "O", "O"],
  "fractional_positions": [[0.248, 0.186, 0.407], [0.248, 0.814, 0.907], [0.752, 0.186, 0.093], [0.752, 0.814, 0.593], [0.000, 0.275, 0.250], [0.000, 0.725, 0.750], [0.247, 0.122, 0.576], [0.247, 0.878, 0.076], [0.257, 0.468, 0.132], [0.257, 0.532, 0.632], [0.743, 0.468, 0.368], [0.743, 0.532, 0.868], [0.753, 0.122, 0.924], [0.753, 0.878, 0.424], [0.028, 0.034, 0.926], [0.028, 0.966, 0.426], [0.050, 0.372, 0.086], [0.050, 0.628, 0.586], [0.148, 0.159, 0.305], [0.148, 0.841, 0.805], [0.202, 0.424, 0.214], [0.202, 0.576, 0.714], [0.228, 0.299, 0.633], [0.228, 0.701, 0.133], [0.321, 0.219, 0.506], [0.321, 0.781, 0.006], [0.455, 0.017, 0.106], [0.455, 0.983, 0.606], [0.461, 0.419, 0.383], [0.461, 0.581, 0.883], [0.539, 0.419, 0.117], [0.539, 0.581, 0.617], [0.545, 0.017, 0.394], [0.545, 0.983, 0.894], [0.679, 0.219, 0.994], [0.679, 0.781, 0.494], [0.772, 0.299, 0.867], [0.772, 0.701, 0.367], [0.798, 0.424, 0.286], [0.798, 0.576, 0.786], [0.852, 0.159, 0.195], [0.852, 0.841, 0.695], [0.950, 0.372, 0.414], [0.950, 0.628, 0.914], [0.972, 0.034, 0.574], [0.972, 0.966, 0.074]]
}

=====

# 6
{
  "formula": "V2P3O12",
  "functional": "GGA-PBEsol",
  "state": "optimized geometry",
  "raw_formation_energy_mev_per_atom": -2237,
  "spacegroup": "R-3c",
  "energy_ev_per_atom": -8.0977,
  "mass_density_g_cm3": 2.9,
  "relative_energy_kj_per_mol_atoms": 0.00,
  "lattice_angstrom": [[4.210, 2.431, 7.156], [-4.210, 2.431, 7.156], [0.000, -4.862, 7.156]],
  "species": ["V", "V", "V", "V", "P", "P", "P", "P", "P", "P", "O", "O", "O", "O", "O", "O", "O", "O", "O", "O", "O", "O", "O", "O", "O", "O", "O", "O", "O", "O", "O", "O", "O", "O"],
  "fractional_positions": [[0.140, 0.140, 0.140], [0.360, 0.360, 0.360], [0.640, 0.640, 0.640], [0.860, 0.860, 0.860], [0.031, 0.750, 0.469], [0.250, 0.531, 0.969], [0.469, 0.031, 0.750], [0.531, 0.969, 0.250], [0.750, 0.469, 0.031], [0.969, 0.250, 0.531], [0.004, 0.775, 0.645], [0.061, 0.928, 0.286], [0.072, 0.714, 0.939], [0.145, 0.275, 0.504], [0.214, 0.572, 0.439], [0.225, 0.355, 0.996], [0.275, 0.504, 0.145], [0.286, 0.061, 0.928], [0.355, 0.996, 0.225], [0.428, 0.561, 0.786], [0.439, 0.214, 0.572], [0.496, 0.855, 0.725], [0.504, 0.145, 0.275], [0.561, 0.786, 0.428], [0.572, 0.439, 0.214], [0.645, 0.004, 0.775], [0.714, 0.939, 0.072], [0.725, 0.496, 0.855], [0.775, 0.645, 0.004], [0.786, 0.428, 0.561], [0.855, 0.725, 0.496], [0.928, 0.286, 0.061], [0.939, 0.072, 0.714], [0.996, 0.225, 0.355]]
}

=====

# 7
{
  "formula": "V5P6WO24",
  "functional": "GGA-PBEsol",
  "state": "optimized geometry",
  "raw_formation_energy_mev_per_atom": -2150,
  "spacegroup": "R3",
  "energy_ev_per_atom": -8.3362,
  "mass_density_g_cm3": 3.9,
  "lattice_angstrom": [[4.316, 2.492, 6.672], [-4.316, 2.492, 6.672], [0.000, -4.984, 6.672]],
  "species": ["V", "V", "V", "V", "V", "P", "P", "P", "P", "P", "P", "W", "O", "O", "O", "O", "O", "O", "O", "O", "O", "O", "O", "O", "O", "O", "O", "O", "O", "O", "O", "O", "O", "O", "O", "O"],
  "fractional_positions": [[0.000, 0.000, 0.000], [0.139, 0.139, 0.139], [0.279, 0.279, 0.279], [0.633, 0.633, 0.633], [0.776, 0.776, 0.776], [0.092, 0.389, 0.682], [0.169, 0.898, 0.596], [0.389, 0.682, 0.092], [0.596, 0.169, 0.898], [0.682, 0.092, 0.389], [0.898, 0.596, 0.169], [0.502, 0.502, 0.502], [0.019, 0.820, 0.632], [0.049, 0.393, 0.192], [0.081, 0.236, 0.883], [0.136, 0.963, 0.753], [0.142, 0.315, 0.525], [0.192, 0.049, 0.393], [0.236, 0.883, 0.081], [0.251, 0.465, 0.640], [0.315, 0.525, 0.142], [0.375, 0.740, 0.577], [0.393, 0.192, 0.049], [0.465, 0.640, 0.251], [0.525, 0.142, 0.315], [0.544, 0.694, 0.892], [0.577, 0.375, 0.740], [0.632, 0.019, 0.820], [0.640, 0.251, 0.465], [0.694, 0.892, 0.544], [0.740, 0.577, 0.375], [0.753, 0.136, 0.963], [0.820, 0.632, 0.019], [0.883, 0.081, 0.236], [0.892, 0.544, 0.694], [0.963, 0.753, 0.136]]
}

=====

# 8
{
  "formula": "V3P4WO20",
  "functional": "GGA-PBEsol",
  "state": "optimized geometry",
  "raw_formation_energy_mev_per_atom": -2216,
  "spacegroup": "P2",
  "energy_ev_per_atom": -8.3187,
  "mass_density_g_cm3": 4.1,
  "lattice_angstrom": [[6.142, 0.000, 0.000], [0.000, 4.194, 0.000], [-0.002, 0.000, 12.292]],
  "species": ["V", "V", "V", "P", "P", "P", "P", "W", "O", "O", "O", "O", "O", "O", "O", "O", "O", "O", "O", "O", "O", "O", "O", "O", "O", "O", "O", "O"],
  "fractional_positions": [[0.000, 0.000, 0.000], [0.500, 0.410, 0.246], [0.500, 0.410, 0.754], [0.002, 0.698, 0.246], [0.500, 0.688, 0.500], [0.500, 0.709, 0.000], [0.998, 0.698, 0.754], [0.000, 0.995, 0.500], [0.000, 0.380, 0.000], [0.000, 0.410, 0.500], [0.037, 0.917, 0.650], [0.041, 0.921, 0.150], [0.199, 0.493, 0.769], [0.201, 0.496, 0.273], [0.298, 0.917, 0.980], [0.303, 0.919, 0.480], [0.457, 0.492, 0.600], [0.460, 0.495, 0.100], [0.500, 0.029, 0.248], [0.500, 0.029, 0.752], [0.540, 0.495, 0.900], [0.543, 0.492, 0.400], [0.697, 0.919, 0.520], [0.702, 0.917, 0.020], [0.799, 0.496, 0.727], [0.801, 0.493, 0.231], [0.959, 0.921, 0.850], [0.963, 0.917, 0.350]]
}

=====

# 9
{
  "formula": "V4ZnP6O24",
  "functional": "GGA-PBEsol",
  "state": "optimized geometry",
  "raw_formation_energy_mev_per_atom": -2179,
  "spacegroup": "P-1",
  "energy_ev_per_atom": -7.9171,
  "mass_density_g_cm3": 3.5,
  "lattice_angstrom": [[6.178, 0.000, 0.000], [-1.746, 7.921, 0.000], [-2.431, -3.586, 8.178]],
  "species": ["V", "V", "V", "V", "Zn", "P", "P", "P", "P", "P", "P", "O", "O", "O", "O", "O", "O", "O", "O", "O", "O", "O", "O", "O", "O", "O", "O", "O", "O", "O", "O", "O", "O", "O", "O"],
  "fractional_positions": [[0.056, 0.216, 0.021], [0.377, 0.975, 0.614], [0.623, 0.025, 0.386], [0.944, 0.784, 0.979], [0.000, 0.500, 0.500], [0.108, 0.110, 0.338], [0.210, 0.662, 0.257], [0.382, 0.743, 0.847], [0.618, 0.257, 0.153], [0.790, 0.338, 0.743], [0.892, 0.890, 0.662], [0.011, 0.701, 0.145], [0.075, 0.045, 0.151], [0.107, 0.011, 0.647], [0.151, 0.312, 0.410], [0.182, 0.458, 0.189], [0.212, 0.725, 0.435], [0.239, 0.802, 0.958], [0.252, 0.553, 0.714], [0.321, 0.052, 0.420], [0.368, 0.231, 0.038], [0.427, 0.884, 0.768], [0.452, 0.778, 0.264], [0.548, 0.222, 0.736], [0.573, 0.116, 0.232], [0.632, 0.769, 0.962], [0.679, 0.948, 0.580], [0.748, 0.447, 0.286], [0.761, 0.198, 0.042], [0.788, 0.275, 0.565], [0.818, 0.542, 0.811], [0.849, 0.688, 0.590], [0.893, 0.989, 0.353], [0.925, 0.955, 0.849], [0.989, 0.299, 0.855]]
}